Computed, not measured: a crystal of LaB2BrO relaxed with PBEsol at the SCAN level of DFT.

space group = No. 123
energy = -16.353 eV/atom
magnetic moment = 0.000 μB per atom
ΔE_f (raw) = 378 meV/atom

abc: 4.204 4.204 4.696
angles: 90.00 90.00 90.00
Atoms (fractional coordinates):
B 0.000 0.500 0.000
B 0.500 0.000 0.000
O 0.000 0.000 0.000
Br 0.500 0.500 0.500
La 0.000 0.000 0.500